The following is a DFT calculation (PBE) of crystalline CrGaSbTe2 at its relaxed geometry.

Summary:
D(E_F): 6.30 states/eV/f.u.
E above lowest polymorph: 913.3 meV per atom
calculated total energy: -3.38 eV/atom

Geometry as extended XYZ:
```
5
Lattice="5.3479 0.0000 0.0000 0.0000 5.3479 0.0000 0.0000 0.0000 5.1492" Properties=species:S:1:pos:R:3 pbc="T T T"
Cr 0.0000 0.0000 0.0000
Ga 2.6740 2.6740 2.5746
Sb 2.6740 2.6740 0.0000
Te 0.0000 2.6740 2.5746
Te 2.6740 0.0000 2.5746
```